Record 1
Material: Rb2CrNiO
Method: DFT, PBEsol
State: optimized geometry

The structure in CIF format:
```
data_Rb2CrNiO
_symmetry_space_group_name_H-M 'P 1'
_symmetry_Int_Tables_number 1
_cell_length_a 3.423
_cell_length_b 6.498
_cell_length_c 6.498
_cell_angle_alpha 90.00
_cell_angle_beta 90.00
_cell_angle_gamma 90.00
loop_
_symmetry_equiv_pos_as_xyz
'x,y,z'
loop_
_atom_site_label
_atom_site_fract_x
_atom_site_fract_y
_atom_site_fract_z
_atom_site_occupancy
Rb1 0.000 0.000 0.500 1
Rb2 0.000 0.500 0.000 1
O1 0.500 0.000 0.000 1
Ni1 0.000 0.000 0.000 1
Cr1 0.500 0.500 0.500 1
```

Output
Energy relative to the elements, uncorrected   0.2611 eV/atom
SG   No. 123

---

Record 2
Material: MnCoSe2
Method: DFT, PBEsol
State: optimized geometry

The structure in CIF format:
```
data_MnCoSe2
_symmetry_space_group_name_H-M 'P 1'
_symmetry_Int_Tables_number 1
_cell_length_a 3.263
_cell_length_b 3.263
_cell_length_c 6.119
_cell_angle_alpha 90.00
_cell_angle_beta 90.00
_cell_angle_gamma 90.00
loop_
_symmetry_equiv_pos_as_xyz
'x,y,z'
loop_
_atom_site_label
_atom_site_fract_x
_atom_site_fract_y
_atom_site_fract_z
_atom_site_occupancy
Co1 0.000 0.000 0.509 1
Mn1 0.500 0.500 0.740 1
Se1 0.000 0.000 0.886 1
Se2 0.500 0.500 0.364 1
```

Output
Energy relative to the elements, uncorrected   -0.2315 eV/atom
SG   No. 99
Relative energy among the computed polymorphs   89 meV per atom

---

Record-wise density of states at the Fermi level values, in states/eV/atom: 0.50, 0.71